(1)
{"formula": "PrCuSb", "functional": "PBE-GGA", "state": "relaxed", "cell": [[4.426, 0.000, 0.000], [-2.213, 3.833, 0.000], [0.000, 0.000, 12.811]], "species": ["Pr", "Pr", "Pr", "Cu", "Cu", "Cu", "Sb", "Sb", "Sb"], "fractional_positions": [[0.000, 0.000, 0.000], [0.000, 0.000, 0.333], [0.000, 0.000, 0.667], [0.333, 0.667, 0.500], [0.667, 0.333, 0.137], [0.667, 0.333, 0.863], [0.333, 0.667, 0.173], [0.333, 0.667, 0.827], [0.667, 0.333, 0.500]], "total_magnetization_mub_per_atom": 0.000, "n_ef_per_ev_cell": 4.123, "formation_energy_uncorrected_ev_per_atom": -0.754, "e_tot_ev_per_atom": -5.09}

(2)
{"formula": "NaAsS3", "functional": "PBE-GGA", "state": "relaxed", "cell": [[4.827, 0.000, 0.000], [0.000, 4.827, 0.000], [0.000, 0.000, 4.827]], "species": ["Na", "As", "S", "S", "S"], "fractional_positions": [[0.000, 0.000, 0.000], [0.500, 0.500, 0.500], [0.000, 0.500, 0.500], [0.500, 0.000, 0.500], [0.500, 0.500, 0.000]], "total_magnetization_mub_per_atom": 0.000, "de_polymorph_mev_per_atom": 457, "n_ef_per_ev_cell": 3.875, "formation_energy_uncorrected_ev_per_atom": 0.022, "e_tot_ev_per_atom": -3.65}

(3)
{"formula": "Zn3In", "functional": "PBE-GGA", "state": "relaxed", "cell": [[3.085, 0.000, 0.000], [-1.543, 2.672, 0.000], [0.000, 0.000, 9.113]], "species": ["Zn", "Zn", "Zn", "In"], "fractional_positions": [[0.000, 0.000, 0.000], [0.667, 0.333, 0.222], [0.667, 0.333, 0.778], [0.000, 0.000, 0.500]], "total_magnetization_mub_per_atom": 0.000, "n_ef_per_ev_cell": 1.264, "e_tot_ev_per_atom": -1.51}

(4)
{"formula": "Nd6ErTl2", "functional": "PBE-GGA", "state": "relaxed", "cell": [[6.582, -1.915, 0.000], [6.582, 1.915, 0.000], [-3.748, 0.000, 11.617]], "species": ["Nd", "Nd", "Nd", "Nd", "Nd", "Nd", "Er", "Tl", "Tl"], "fractional_positions": [[0.018, 0.018, 0.343], [0.306, 0.306, 0.407], [0.319, 0.319, 0.123], [0.681, 0.681, 0.877], [0.694, 0.694, 0.593], [0.982, 0.982, 0.657], [0.000, 0.000, 0.000], [0.364, 0.364, 0.807], [0.636, 0.636, 0.193]], "total_magnetization_mub_per_atom": 0.000, "de_polymorph_mev_per_atom": 0, "n_ef_per_ev_cell": 10.782, "e_tot_ev_per_atom": -4.36}

(5)
{"formula": "CaTcRu2N", "functional": "PBE-GGA", "state": "relaxed", "cell": [[4.539, 0.000, 0.000], [0.000, 4.539, 0.000], [0.000, 0.000, 5.829]], "species": ["Ca", "Tc", "Ru", "Ru", "N"], "fractional_positions": [[0.000, 0.000, 0.000], [0.000, 0.000, 0.500], [0.000, 0.500, 0.500], [0.500, 0.000, 0.500], [0.500, 0.500, 0.000]], "total_magnetization_mub_per_atom": 0.634, "n_ef_per_ev_cell": 4.972, "formation_energy_uncorrected_ev_per_atom": 1.970, "e_tot_ev_per_atom": -5.88}

(6)
{"formula": "Zn2NiAu2", "functional": "PBE-GGA", "state": "relaxed", "cell": [[-2.683, 5.937, 2.527], [2.683, -5.937, 2.527], [2.683, 5.937, -2.527]], "species": ["Zn", "Zn", "Zn", "Zn", "Ni", "Ni", "Au", "Au", "Au", "Au"], "fractional_positions": [[0.166, 0.162, 0.328], [0.334, 0.662, 0.996], [0.666, 0.338, 0.004], [0.834, 0.838, 0.672], [0.250, 0.250, 0.000], [0.750, 0.750, 0.000], [0.112, 0.646, 0.758], [0.388, 0.146, 0.534], [0.612, 0.854, 0.466], [0.888, 0.354, 0.242]], "total_magnetization_mub_per_atom": 0.000, "de_polymorph_mev_per_atom": 27, "n_ef_per_ev_cell": 3.982, "e_tot_ev_per_atom": -3.08}

(7)
{"formula": "Lu3Cr5Se12", "functional": "PBE-GGA", "state": "relaxed", "cell": [[-7.779, 7.779, 7.779], [7.779, -7.779, 7.779], [7.779, 7.779, -7.779]], "species": ["Lu", "Lu", "Lu", "Lu", "Lu", "Lu", "Lu", "Lu", "Lu", "Lu", "Lu", "Lu", "Cr", "Cr", "Cr", "Cr", "Cr", "Cr", "Cr", "Cr", "Cr", "Cr", "Cr", "Cr", "Cr", "Cr", "Cr", "Cr", "Cr", "Cr", "Cr", "Cr", "Se", "Se", "Se", "Se", "Se", "Se", "Se", "Se", "Se", "Se", "Se", "Se", "Se", "Se", "Se", "Se", "Se", "Se", "Se", "Se", "Se", "Se", "Se", "Se", "Se", "Se", "Se", "Se", "Se", "Se", "Se", "Se", "Se", "Se", "Se", "Se", "Se", "Se", "Se", "Se", "Se", "Se", "Se", "Se", "Se", "Se", "Se", "Se"], "fractional_positions": [[0.125, 0.250, 0.375], [0.125, 0.375, 0.750], [0.250, 0.375, 0.125], [0.250, 0.875, 0.625], [0.375, 0.125, 0.250], [0.375, 0.750, 0.125], [0.625, 0.250, 0.875], [0.625, 0.875, 0.750], [0.750, 0.125, 0.375], [0.750, 0.625, 0.875], [0.875, 0.625, 0.250], [0.875, 0.750, 0.625], [0.000, 0.000, 0.000], [0.000, 0.000, 0.500], [0.000, 0.500, 0.000], [0.000, 0.500, 0.500], [0.125, 0.750, 0.875], [0.125, 0.875, 0.250], [0.250, 0.125, 0.875], [0.250, 0.625, 0.375], [0.375, 0.250, 0.625], [0.375, 0.625, 0.750], [0.500, 0.000, 0.000], [0.500, 0.000, 0.500], [0.500, 0.500, 0.000], [0.500, 0.500, 0.500], [0.625, 0.375, 0.250], [0.625, 0.750, 0.375], [0.750, 0.375, 0.625], [0.750, 0.875, 0.125], [0.875, 0.125, 0.750], [0.875, 0.250, 0.125], [0.035, 0.211, 0.124], [0.035, 0.324, 0.911], [0.087, 0.711, 0.676], [0.087, 0.876, 0.411], [0.089, 0.624, 0.413], [0.089, 0.965, 0.676], [0.124, 0.035, 0.211], [0.124, 0.589, 0.913], [0.176, 0.211, 0.587], [0.176, 0.465, 0.589], [0.211, 0.124, 0.035], [0.211, 0.587, 0.176], [0.289, 0.324, 0.913], [0.289, 0.465, 0.376], [0.324, 0.911, 0.035], [0.324, 0.913, 0.289], [0.376, 0.289, 0.465], [0.376, 0.587, 0.911], [0.411, 0.087, 0.876], [0.411, 0.824, 0.535], [0.413, 0.089, 0.624], [0.413, 0.824, 0.789], [0.465, 0.376, 0.289], [0.465, 0.589, 0.176], [0.535, 0.411, 0.824], [0.535, 0.624, 0.711], [0.587, 0.176, 0.211], [0.587, 0.911, 0.376], [0.589, 0.176, 0.465], [0.589, 0.913, 0.124], [0.624, 0.413, 0.089], [0.624, 0.711, 0.535], [0.676, 0.087, 0.711], [0.676, 0.089, 0.965], [0.711, 0.535, 0.624], [0.711, 0.676, 0.087], [0.789, 0.413, 0.824], [0.789, 0.876, 0.965], [0.824, 0.535, 0.411], [0.824, 0.789, 0.413], [0.876, 0.411, 0.087], [0.876, 0.965, 0.789], [0.911, 0.035, 0.324], [0.911, 0.376, 0.587], [0.913, 0.124, 0.589], [0.913, 0.289, 0.324], [0.965, 0.676, 0.089], [0.965, 0.789, 0.876]], "total_magnetization_mub_per_atom": 0.750, "n_ef_per_ev_cell": 39.641, "formation_energy_uncorrected_ev_per_atom": -0.829, "e_tot_ev_per_atom": -6.00}

(8)
{"formula": "La2CdSi", "functional": "PBE-GGA", "state": "relaxed", "cell": [[3.907, 0.000, 0.000], [0.000, 3.907, 0.000], [0.000, 0.000, 7.268]], "species": ["La", "La", "Cd", "Si"], "fractional_positions": [[0.000, 0.000, 0.213], [0.000, 0.000, 0.787], [0.500, 0.500, 0.500], [0.500, 0.500, 0.000]], "total_magnetization_mub_per_atom": 0.000, "n_ef_per_ev_cell": 2.483, "formation_energy_uncorrected_ev_per_atom": -0.465, "e_tot_ev_per_atom": -4.51}